(1)
Entry from Alexandria: a geometry-optimized Be3TcPd structure (GGA-PBE).

Properties
Space-group type ... No. 221
Calculated formation energy ... 673 meV per atom
Magnetization ... 1.1 Bohr magnetons per cell
Relative energy among the computed polymorphs ... 0 meV/atom

The structure in extended XYZ format:
```
5
Lattice="4.059 0.000 0.000 0.000 4.059 0.000 0.000 0.000 4.059" Properties=species:S:1:pos:R:3 pbc="T T T"
Be 0.000 0.000 2.029
Be 0.000 2.029 0.000
Be 2.029 0.000 0.000
Tc 2.029 2.029 2.029
Pd 0.000 0.000 0.000
```

=====

(2)
Entry from Alexandria: a geometry-optimized BeTcPd structure (GGA-PBE).

Properties
Space-group type ... No. 156
Calculated formation energy ... 16 meV per atom
Magnetization ... 0.0 Bohr magnetons per cell
Relative energy among the computed polymorphs ... 164 meV/atom

The structure in extended XYZ format:
```
3
Lattice="2.714 0.000 0.000 -1.357 2.351 0.000 0.000 0.000 6.123" Properties=species:S:1:pos:R:3 pbc="T T T"
Be 0.000 0.000 0.000
Tc 0.000 1.567 4.167
Pd 1.357 0.784 1.841
```

=====

(3)
Entry from Alexandria: a geometry-optimized Be2Tc2Pd structure (GGA-PBE).

Properties
Space-group type ... No. 127
Calculated formation energy ... -156 meV per atom
Magnetization ... 0.0 Bohr magnetons per cell

The structure in extended XYZ format:
```
10
Lattice="6.001 0.000 0.000 0.000 6.001 0.000 0.000 0.000 3.275" Properties=species:S:1:pos:R:3 pbc="T T T"
Be 0.736 2.264 0.000
Be 2.264 5.264 0.000
Be 3.737 0.736 0.000
Be 5.264 3.737 0.000
Tc 1.032 4.032 1.637
Tc 1.968 1.032 1.637
Tc 4.032 4.969 1.637
Tc 4.969 1.968 1.637
Pd 0.000 0.000 0.000
Pd 3.000 3.000 0.000
```